(1)
DFT (GGA-PBE) results for a relaxed structure of Sm5Sn2Bi.

- magnetic moment (μB per formula unit) = 2.29
- symmetry = I4/mcm, No. 140
- crystal system = tetragonal
- theoretical density (g/cm3) = 8.11
- energy (eV per cell) = -81.704
- V (Å³/atom) = 30.7

Cell lengths 8.3318, 8.3318, 9.2039 Å; angles 116.91, 116.91, 90.00 degrees
Last column: nearest neighbours and their distance in Å.
Positions (direct):
Sm 0.5101 0.6933 0.7034  3 Sn 3.16-3.26, 2 Bi 3.45
Sm 0.8067 0.9899 0.2966  3 Sn 3.16-3.26, 2 Bi 3.45
Sm 0.0000 0.0000 0.0000  4 Sn 3.22, 2 Bi 3.54
Sm 0.5000 0.5000 0.0000  4 Sn 3.22, 2 Bi 3.54
Sm 0.1933 0.0101 0.7034  3 Sn 3.16-3.26, 2 Bi 3.45
Sm 0.6933 0.1933 0.7034  3 Sn 3.16-3.26, 2 Bi 3.45
Sm 0.0101 0.5101 0.7034  3 Sn 3.16-3.26, 2 Bi 3.45
Sm 0.3067 0.8067 0.2966  3 Sn 3.16-3.26, 2 Bi 3.45
Sm 0.9899 0.4899 0.2966  3 Sn 3.16-3.26, 2 Bi 3.45
Sm 0.4899 0.3067 0.2966  3 Sn 3.16-3.26, 2 Bi 3.45
Sn 0.1406 0.3594 0.0000  8 Sm 3.16-3.26, 1 Sn 3.31
Sn 0.6406 0.1406 0.0000  8 Sm 3.16-3.26, 1 Sn 3.31
Sn 0.3594 0.8594 0.0000  8 Sm 3.16-3.26, 1 Sn 3.31
Sn 0.8594 0.6406 0.0000  8 Sm 3.16-3.26, 1 Sn 3.31
Bi 0.7500 0.7500 0.5000  10 Sm 3.45-3.54
Bi 0.2500 0.2500 0.5000  10 Sm 3.45-3.54


(2)
DFT (GGA-PBE) results for a relaxed structure of PrNdB12.

- magnetic moment (μB per formula unit) = 0.00
- symmetry = Fm-3m, No. 225
- crystal system = cubic
- theoretical density (g/cm3) = 4.85
- energy (eV per cell) = -96.398
- V (Å³/atom) = 10.1

Cell lengths 5.8561, 5.8561, 5.8561 Å; angles 60.00, 60.00, 60.00 degrees
Last column: nearest neighbours and their distance in Å.
Positions (direct):
Pr 0.5000 0.5000 0.5000  24 B 3.04
Nd 0.0000 0.0000 0.0000  24 B 3.04
B 0.9001 0.9001 0.5999  5 B 1.65-1.76
B 0.4001 0.4001 0.0999  5 B 1.65-1.76
B 0.5999 0.9001 0.5999  5 B 1.65-1.76
B 0.0999 0.4001 0.0999  5 B 1.65-1.76
B 0.9001 0.5999 0.5999  5 B 1.65-1.76
B 0.4001 0.0999 0.0999  5 B 1.65-1.76
B 0.9001 0.5999 0.9001  5 B 1.65-1.76
B 0.4001 0.0999 0.4001  5 B 1.65-1.76
B 0.5999 0.9001 0.9001  5 B 1.65-1.76
B 0.0999 0.4001 0.4001  5 B 1.65-1.76
B 0.5999 0.5999 0.9001  5 B 1.65-1.76
B 0.0999 0.0999 0.4001  5 B 1.65-1.76


(3)
DFT (GGA-PBE) results for a relaxed structure of AcDyHo2Tm4.

- magnetic moment (μB per formula unit) = 0.00
- symmetry = Pmmm, No. 47
- crystal system = orthorhombic
- theoretical density (g/cm3) = 9.03
- energy (eV per cell) = -35.344
- V (Å³/atom) = 32.1

Cell lengths 5.0673, 5.0454, 11.2324 Å; angles 63.34, 90.00, 90.00 degrees
Last column: nearest neighbours and their distance in Å.
Positions (direct):
Ac 0.5000 0.5000 0.0000  4 Ho 3.58, 8 Tm 3.62-3.63
Dy 0.0000 0.5000 0.5000  8 Tm 3.49-3.50, 4 Ho 3.58
Ho 0.0000 0.0000 0.0000  4 Ac 3.58, 8 Tm 3.62-3.63
Ho 0.5000 0.0000 0.5000  8 Tm 3.49-3.50, 4 Dy 3.58
Tm 0.0000 0.7587 0.7411  2 Dy 3.49-3.50, 4 Ho 3.50-3.62, 4 Tm 3.58, 2 Ac 3.63
Tm 0.0000 0.2413 0.2589  2 Dy 3.49-3.50, 4 Ho 3.50-3.62, 4 Tm 3.58, 2 Ac 3.63
Tm 0.5000 0.7410 0.2593  4 Ho 3.49-3.63, 2 Dy 3.50, 4 Tm 3.58, 2 Ac 3.62
Tm 0.5000 0.2590 0.7407  4 Ho 3.49-3.63, 2 Dy 3.50, 4 Tm 3.58, 2 Ac 3.62


(4)
DFT (GGA-PBE) results for a relaxed structure of PPt2Cl.

- magnetic moment (μB per formula unit) = 0.00
- symmetry = P4/mmm, No. 123
- crystal system = tetragonal
- theoretical density (g/cm3) = 10.97
- ΔE_f (raw) (eV per atom) = 0.198
- offset from the most stable computed form (meV/atom) = 457
- V (Å³/atom) = 17.3

Cell lengths 7.5449, 5.6972, 2.8304 Å; angles 60.15, 112.12, 139.08 degrees
Last column: nearest neighbours and their distance in Å.
Positions (direct):
Cl 0.0000 0.5000 0.5000  4 Pt 2.47
P 0.5000 0.5000 0.0000  4 Pt 2.47
Pt 0.0000 0.0000 0.0000  2 Cl 2.47, 2 P 2.47
Pt 0.5000 0.0000 0.5000  2 P 2.47, 2 Cl 2.47